# 1
VASP calculation (PBE-GGA) on a relaxed KGa2O crystal.

## Properties
- DOS(E_F): 8.3 states/eV/cell
- Energy relative to the elements, uncorrected: -0.39 eV per atom

abc: 7.6132 7.6132 5.6514
angles: 90.00 90.00 90.00
Closest atoms and distances in Å follow each position.
Space group I-42d (No. 122)
Symmetry-distinct sites (fractional):
K (0.0000, 0.0000, 0.0000)  2 O 2.83, 4 Ga 3.09
Ga (0.1575, 0.7500, 0.6250)  2 O 2.36
O (0.0000, 0.0000, 0.5000)  4 Ga 2.36


# 2
VASP calculation (PBE-GGA) on a relaxed FePRhCl2 crystal.

## Properties
- Energy above the lowest structure with this stoichiometry: 0 meV per atom
- DOS(E_F): 5.1 states/eV/cell
- Energy relative to the elements, uncorrected: 0.54 eV per atom

abc: 4.8997 4.8997 4.4967
angles: 90.00 90.00 90.00
Closest atoms and distances in Å follow each position.
Space group P4/mmm (No. 123)
Symmetry-distinct sites (fractional):
Fe (0.0000, 0.0000, 0.0000)  8 Cl 3.33, 4 P 3.46
P (0.5000, 0.5000, 0.0000)  2 Rh 2.25
Rh (0.5000, 0.5000, 0.5000)  2 P 2.25, 4 Cl 2.45
Cl (0.0000, 0.5000, 0.5000)  2 Rh 2.45


# 3
VASP calculation (PBE-GGA) on a relaxed Li2Mg2ScAg5 crystal.

## Properties
- ΔE_f: -121 kJ/mol of formula units
- DOS(E_F): 10.3 states/eV/cell

abc: 9.6372 9.6372 3.9966
angles: 90.00 90.00 90.00
Closest atoms and distances in Å follow each position.
Space group P4/mbm (No. 127)
Symmetry-distinct sites (fractional):
Li (0.1208, 0.3792, 0.0000)  6 Ag 2.59-2.64, 1 Mg 2.77
Mg (0.1759, 0.6759, 0.0000)  3 Li 2.77-2.91
Sc (0.0000, 0.0000, 0.0000)  8 Ag 2.91
Ag (0.0000, 0.5000, 0.5000)  4 Li 2.59
Ag (0.0761, 0.2054, 0.5000)  2 Li 2.64, 2 Sc 2.91, 1 Ag 2.93


# 4
VASP calculation (PBE-GGA) on a relaxed K3Ce2InSe6 crystal.

## Properties
- DOS(E_F): 26.0 states/eV/cell
- Energy relative to the elements, uncorrected: -1.39 eV per atom

abc: 7.5281 13.0302 8.0058
angles: 90.00 108.18 90.00
Closest atoms and distances in Å follow each position.
Space group C2/m (No. 12)
Symmetry-distinct sites (fractional):
K (0.0000, 0.0000, 0.0000)  6 Se 3.35-3.37
K (0.0000, 0.3365, 0.0000)  6 Se 3.35-3.37
Ce (0.0000, 0.1670, 0.5000)  6 Se 2.95
In (0.0000, 0.5000, 0.5000)  6 Se 2.97-2.98
Se (0.2319, 0.0000, 0.7048)  2 Ce 2.95, 1 In 2.97
Se (0.2369, 0.3319, 0.7060)  2 Ce 2.95, 1 In 2.98


# 5
VASP calculation (PBE-GGA) on a relaxed ReIr2Pt crystal.

## Properties
- ΔE_f: -6 kJ/mol of formula units
- Energy above the lowest structure with this stoichiometry: 134 meV per atom
- DOS(E_F): 10.7 states/eV/cell

abc: 3.8692 3.8692 7.9173
angles: 90.00 90.00 90.00
Closest atoms and distances in Å follow each position.
Space group I-4m2 (No. 119)
Symmetry-distinct sites (fractional):
Re (0.0000, 0.0000, 0.0000)  8 Ir 2.74-2.77, 4 Pt 2.77
Ir (0.0000, 0.0000, 0.5000)  4 Re 2.74, 4 Ir 2.77, 4 Pt 2.77
Ir (0.0000, 0.5000, 0.2500)  4 Pt 2.74, 4 Re 2.77, 4 Ir 2.77
Pt (0.0000, 0.5000, 0.7500)  8 Ir 2.74-2.77, 4 Re 2.77


# 6
VASP calculation (PBE-GGA) on a relaxed CoPOs2 crystal.

## Properties
- ΔE_f: 107 kJ/mol of formula units
- DOS(E_F): 5.9 states/eV/cell

abc: 3.6857 3.6857 7.4965
angles: 90.00 90.00 90.00
Closest atoms and distances in Å follow each position.
Space group I-4m2 (No. 119)
Symmetry-distinct sites (fractional):
Co (0.0000, 0.0000, 0.0000)  8 Os 2.61-2.63, 4 P 2.63
P (0.0000, 0.5000, 0.2500)  8 Os 2.61-2.63, 4 Co 2.63
Os (0.0000, 0.0000, 0.5000)  4 Co 2.61, 4 Os 2.63, 4 P 2.63
Os (0.0000, 0.5000, 0.7500)  4 P 2.61, 4 Co 2.63, 4 Os 2.63


# 7
VASP calculation (PBE-GGA) on a relaxed Li4CdAg7 crystal.

## Properties
- ΔE_f: -23 kJ/mol of formula units
- Energy above the lowest structure with this stoichiometry: 141 meV per atom
- DOS(E_F): 5.9 states/eV/cell

abc: 10.5293 5.1455 9.9620
angles: 90.00 120.93 90.00
Closest atoms and distances in Å follow each position.
Space group C2/m (No. 12)
Symmetry-distinct sites (fractional):
Li (0.0982, 0.0000, 0.2728)  8 Ag 2.68-2.97
Li (0.2313, 0.0000, 0.8136)  6 Ag 2.67-2.94
Cd (0.0000, 0.5000, 0.5000)  4 Ag 2.57-2.73
Ag (0.0000, 0.0000, 0.5000)  2 Cd 2.57, 2 Ag 2.72, 2 Li 2.81
Ag (0.0448, 0.5000, 0.8802)  4 Li 2.73-3.01, 5 Ag 2.80-2.98
Ag (0.1494, 0.0000, 0.0286)  5 Li 2.69-2.94, 4 Ag 2.86-2.90
Ag (0.2104, 0.5000, 0.4175)  4 Li 2.67-2.89, 4 Ag 2.72-2.93, 1 Cd 2.73


# 8
VASP calculation (PBE-GGA) on a relaxed SrGaCo2Cu crystal.

## Properties
- ΔE_f: 240 kJ/mol of formula units
- DOS(E_F): 5.3 states/eV/cell

abc: 4.6848 4.6848 4.5097
angles: 90.00 90.00 90.00
Closest atoms and distances in Å follow each position.
Space group P4/mmm (No. 123)
Symmetry-distinct sites (fractional):
Sr (0.0000, 0.0000, 0.0000)  8 Co 3.25, 4 Ga 3.31
Ga (0.5000, 0.5000, 0.0000)  2 Cu 2.25
Co (0.0000, 0.5000, 0.5000)  2 Cu 2.34
Cu (0.5000, 0.5000, 0.5000)  2 Ga 2.25, 4 Co 2.34


# 9
VASP calculation (PBE-GGA) on a relaxed NaZrCl2 crystal.

## Properties
- Energy above the lowest structure with this stoichiometry: 393 meV per atom
- DOS(E_F): 8.8 states/eV/cell
- Energy relative to the elements, uncorrected: -0.72 eV per atom

abc: 7.1491 7.1491 7.9448
angles: 90.00 90.00 90.00
Closest atoms and distances in Å follow each position.
Space group I-42d (No. 122)
Symmetry-distinct sites (fractional):
Na (0.0000, 0.0000, 0.0000)  4 Cl 2.77
Zr (0.0000, 0.0000, 0.5000)  4 Cl 2.66
Cl (0.2377, 0.2500, 0.6250)  2 Zr 2.66, 2 Na 2.77


# 10
VASP calculation (PBE-GGA) on a relaxed Y2BiPt2 crystal.

## Properties
- ΔE_f: -523 kJ/mol of formula units
- Energy above the lowest structure with this stoichiometry: 0 meV per atom
- DOS(E_F): 4.3 states/eV/cell

abc: 8.0119 8.0119 3.6146
angles: 90.00 90.00 90.00
Closest atoms and distances in Å follow each position.
Space group P4/mbm (No. 127)
Symmetry-distinct sites (fractional):
Y (0.1673, 0.3327, 0.0000)  6 Pt 2.96-2.98
Bi (0.0000, 0.0000, 0.5000)  4 Pt 3.17, 8 Y 3.49
Pt (0.1253, 0.6253, 0.5000)  1 Pt 2.84, 6 Y 2.96-2.98, 2 Bi 3.17


# 11
VASP calculation (PBE-GGA) on a relaxed NaSr5Cd6 crystal.

## Properties
- ΔE_f: -318 kJ/mol of formula units
- DOS(E_F): 8.8 states/eV/cell

abc: 5.7505 7.9103 9.0555
angles: 90.00 108.46 90.00
Closest atoms and distances in Å follow each position.
Space group P2/m (No. 10)
Symmetry-distinct sites (fractional):
Na (0.0000, 0.0000, 0.0000)  8 Cd 3.41-3.48
Sr (0.0000, 0.5000, 0.0000)  8 Cd 3.47-3.50
Sr (0.3316, 0.5000, 0.6617)  8 Cd 3.52-3.53
Sr (0.3355, 0.0000, 0.6694)  8 Cd 3.45-3.51
Cd (0.1626, 0.2430, 0.3275)  1 Na 3.41, 7 Sr 3.46-3.52
Cd (0.5000, 0.2473, 0.0000)  6 Sr 3.45-3.53, 2 Na 3.48


# 12
VASP calculation (PBE-GGA) on a relaxed NiMoC crystal.

## Properties
- ΔE_f: 44 kJ/mol of formula units
- Energy above the lowest structure with this stoichiometry: 97 meV per atom
- DOS(E_F): 2.5 states/eV/cell

abc: 4.3906 3.0340 5.3407
angles: 90.00 112.94 90.00
Closest atoms and distances in Å follow each position.
Space group Pm (No. 6)
Symmetry-distinct sites (fractional):
Ni (0.0000, 0.0000, 0.0000)  3 C 1.94-1.99
Ni (0.4031, 0.5000, 0.3992)  3 C 2.00-2.07
Mo (0.4718, 0.5000, 0.9149)  3 C 2.09-2.18
Mo (0.9396, 0.0000, 0.4908)  3 C 2.04-2.16
C (0.4786, 0.0000, 0.1868)  3 Ni 1.94-2.00, 3 Mo 2.04-2.09
C (0.8430, 0.5000, 0.7386)  3 Ni 1.99-2.07, 3 Mo 2.16-2.18


# 13
VASP calculation (PBE-GGA) on a relaxed Sb2O5 crystal.

## Properties
- Energy above the lowest structure with this stoichiometry: 1084 meV per atom
- DOS(E_F): 64.0 states/eV/cell
- Energy relative to the elements, uncorrected: -0.16 eV per atom

abc: 11.1150 11.1150 11.1150
angles: 90.00 90.00 90.00
Closest atoms and distances in Å follow each position.
Space group Fd-3m (No. 227, origin choice 2)
Symmetry-distinct sites (fractional):
Sb (0.0039, 0.0039, 0.2461)  3 O 2.12
O (0.0000, 0.0000, 0.0000)  6 Sb 2.74, 6 O 2.89
O (0.0000, 0.0000, 0.5000)  6 O 2.07
O (0.0598, 0.3750, 0.8750)  2 O 2.07, 2 Sb 2.12


# 14
VASP calculation (PBE-GGA) on a relaxed AcSc4Ag3O12 crystal.

## Properties
- Energy relative to the elements, uncorrected: -2.20 eV per atom

abc: 7.9541 7.9541 7.9541
angles: 90.00 90.00 90.00
Closest atoms and distances in Å follow each position.
Space group Im-3 (No. 204)
Symmetry-distinct sites (fractional):
Ac (0.0000, 0.0000, 0.0000)  12 O 2.76
Sc (0.2500, 0.2500, 0.2500)  6 O 2.13
Ag (0.0000, 0.0000, 0.5000)  4 O 2.07
O (0.0000, 0.3024, 0.1697)  1 Ag 2.07, 2 Sc 2.13


# 15
VASP calculation (PBE-GGA) on a relaxed TbEr3Sb2 crystal.

## Properties
- DOS(E_F): 23.9 states/eV/cell
- Energy relative to the elements, uncorrected: -0.67 eV per atom

abc: 18.1056 4.2685 9.6712
angles: 90.00 113.71 90.00
Closest atoms and distances in Å follow each position.
Space group C2/m (No. 12)
Symmetry-distinct sites (fractional):
Tb (0.1099, 0.0000, 0.1158)  6 Sb 3.17-3.30
Er (0.0562, 0.0000, 0.6745)  3 Sb 3.02-3.35, 3 Er 3.16-3.26
Er (0.1431, 0.5000, 0.4768)  4 Sb 3.18-3.23
Er (0.1882, 0.5000, 0.8916)  3 Sb 3.08-3.17, 4 Er 3.19-3.26
Sb (0.0098, 0.5000, 0.8454)  4 Er 3.02-3.23, 1 Sb 3.15, 4 Tb 3.17-3.30
Sb (0.2495, 0.0000, 0.7190)  7 Er 3.17-3.47, 2 Tb 3.21


# 16
VASP calculation (PBE-GGA) on a relaxed Eu2CuSe2O crystal.

## Properties
- DOS(E_F): 6.9 states/eV/cell
- Energy relative to the elements, uncorrected: -0.50 eV per atom

abc: 4.0504 4.0504 14.2086
angles: 90.00 90.00 90.00
Closest atoms and distances in Å follow each position.
Space group P4/mmm (No. 123)
Symmetry-distinct sites (fractional):
Eu (0.0000, 0.0000, 0.1477)  1 O 2.10
Cu (0.0000, 0.0000, 0.5000)  2 Se 2.21
Se (0.0000, 0.0000, 0.3448)  1 Cu 2.21
O (0.0000, 0.0000, 0.0000)  2 Eu 2.10


# 17
VASP calculation (PBE-GGA) on a relaxed Y3ThRu8 crystal.

## Properties
- ΔE_f: -339 kJ/mol of formula units
- DOS(E_F): 34.2 states/eV/cell

abc: 5.3546 5.3546 26.4457
angles: 90.00 90.00 120.00
Closest atoms and distances in Å follow each position.
Space group R3m (No. 160, hexagonal axes)
Symmetry-distinct sites (fractional):
Y (0.0000, 0.0000, 0.0000)  12 Ru 3.13-3.14, 4 Y 3.27
Y (0.0000, 0.0000, 0.1235)  12 Ru 3.14-3.22, 1 Y 3.27, 3 Th 3.29
Y (0.0000, 0.0000, 0.6260)  12 Ru 3.11-3.15, 3 Y 3.27, 1 Th 3.34
Th (0.0000, 0.0000, 0.4998)  12 Ru 3.14-3.19, 4 Y 3.29-3.34
Ru (0.0000, 0.0000, 0.3130)  6 Ru 2.67-2.68
Ru (0.0000, 0.0000, 0.8125)  6 Ru 2.71
Ru (0.0007, 0.5003, 0.5635)  6 Ru 2.67-2.71
Ru (0.1682, 0.3363, 0.3948)  6 Ru 2.65-2.71


# 18
VASP calculation (PBE-GGA) on a relaxed AgMoPt crystal.

## Properties
- ΔE_f: 25 kJ/mol of formula units
- Energy above the lowest structure with this stoichiometry: 211 meV per atom
- DOS(E_F): 5.2 states/eV/cell

abc: 4.9687 2.7866 7.2670
angles: 90.00 102.95 90.00
Closest atoms and distances in Å follow each position.
Space group Cm (No. 8)
Symmetry-distinct sites (fractional):
Ag (0.0000, 0.0000, 0.0000)  6 Ag 2.79-2.85, 3 Mo 2.94-2.95, 3 Pt 2.96-2.97
Mo (0.2129, 0.0000, 0.6539)  3 Pt 2.69-2.71, 6 Mo 2.79-2.85, 3 Ag 2.94-2.95
Pt (0.2880, 0.5000, 0.3502)  3 Mo 2.69-2.71, 6 Pt 2.79-2.85, 3 Ag 2.96-2.97


# 19
VASP calculation (PBE-GGA) on a relaxed Bi3TePb crystal.

## Properties
- Energy above the lowest structure with this stoichiometry: 0 meV per atom
- DOS(E_F): 5.2 states/eV/cell
- Energy relative to the elements, uncorrected: 0.60 eV per atom

abc: 5.8830 5.8830 5.8830
angles: 90.00 90.00 90.00
Closest atoms and distances in Å follow each position.
Space group Pm-3m (No. 221)
Symmetry-distinct sites (fractional):
Bi (0.0000, 0.0000, 0.5000)  2 Te 2.94
Te (0.0000, 0.0000, 0.0000)  6 Bi 2.94
Pb (0.5000, 0.5000, 0.5000)  12 Bi 4.16


# 20
VASP calculation (PBE-GGA) on a relaxed BaAs3Au3 crystal.

## Properties
- ΔE_f: -225 kJ/mol of formula units
- DOS(E_F): 4.7 states/eV/cell

abc: 7.2079 7.2079 7.2079
angles: 90.00 90.00 90.00
Closest atoms and distances in Å follow each position.
Space group Pm-3n (No. 223)
Symmetry-distinct sites (fractional):
Ba (0.0000, 0.0000, 0.0000)  12 As 4.03, 12 Au 4.03
As (0.0000, 0.2500, 0.5000)  4 Au 2.55
Au (0.0000, 0.5000, 0.2500)  4 As 2.55